Record 1
Computed, not measured: a geometry-optimized La2HoTh3 structure at the PBE-GGA level of DFT.

Cell lengths 7.746, 7.746, 6.785 Å; angles 90.00, 90.00, 96.11 degrees
Fractional coordinates of all 12 atoms:
La1 0.063 0.602 0.750
La2 0.398 0.937 0.750
La3 0.602 0.063 0.250
La4 0.937 0.398 0.250
Ho1 0.272 0.728 0.250
Ho2 0.728 0.272 0.750
Th1 0.000 0.000 0.000
Th2 0.000 0.000 0.500
Th3 0.334 0.334 0.000
Th4 0.334 0.334 0.500
Th5 0.666 0.666 0.000
Th6 0.666 0.666 0.500

- Formation enthalpy at 0 K: 0.1920 eV per atom
- Space-group type: Cmcm
- DOS(E_F): 17.1 states/eV/cell

---

Record 2
Computed, not measured: a geometry-optimized CePr6Dy2 structure at the PBE-GGA level of DFT.

Cell lengths 6.325, 6.325, 8.913 Å; angles 105.01, 105.01, 68.65 degrees
Fractional coordinates of all 9 atoms:
Ce1 0.000 0.000 0.000
Pr1 0.203 0.679 0.298
Pr2 0.321 0.797 0.702
Pr3 0.335 0.335 0.910
Pr4 0.665 0.665 0.090
Pr5 0.679 0.203 0.298
Pr6 0.797 0.321 0.702
Dy1 0.226 0.226 0.465
Dy2 0.774 0.774 0.535

- Formation enthalpy at 0 K: 0.1518 eV per atom
- Space-group type: C2/m
- DOS(E_F): 17.4 states/eV/cell

---

Record 3
Computed, not measured: a geometry-optimized Ho5ErTm structure at the PBE-GGA level of DFT.

Cell lengths 9.100, 3.560, 13.872 Å; angles 90.00, 105.02, 90.00 degrees
Fractional coordinates of all 14 atoms:
Ho1 0.002 0.250 0.383
Ho2 0.194 0.750 0.873
Ho3 0.335 0.750 0.511
Ho4 0.355 0.250 0.722
Ho5 0.412 0.250 0.075
Ho6 0.588 0.750 0.925
Ho7 0.645 0.750 0.278
Ho8 0.665 0.250 0.489
Ho9 0.806 0.250 0.127
Ho10 0.998 0.750 0.617
Er1 0.105 0.750 0.104
Er2 0.895 0.250 0.896
Tm1 0.330 0.250 0.300
Tm2 0.670 0.750 0.700

- Formation enthalpy at 0 K: 0.0675 eV per atom
- Space-group type: P2_1/m
- DOS(E_F): 21.8 states/eV/cell

---

Record 4
Computed, not measured: a geometry-optimized Pr2TmTe3 structure at the PBE-GGA level of DFT.

Cell lengths 14.595, 13.927, 7.755 Å; angles 79.03, 69.52, 31.44 degrees
Fractional coordinates of all 24 atoms:
Pr1 0.047 0.047 0.203
Pr2 0.123 0.123 0.627
Pr3 0.203 0.203 0.047
Pr4 0.373 0.373 0.877
Pr5 0.627 0.627 0.123
Pr6 0.797 0.797 0.953
Pr7 0.877 0.877 0.373
Pr8 0.953 0.953 0.797
Tm1 0.293 0.293 0.457
Tm2 0.457 0.457 0.293
Tm3 0.543 0.543 0.707
Tm4 0.707 0.707 0.543
Te1 0.038 0.539 0.226
Te2 0.143 0.607 0.607
Te3 0.226 0.698 0.038
Te4 0.302 0.774 0.461
Te5 0.393 0.857 0.857
Te6 0.461 0.962 0.302
Te7 0.539 0.038 0.698
Te8 0.607 0.143 0.143
Te9 0.698 0.226 0.539
Te10 0.774 0.302 0.962
Te11 0.857 0.393 0.393
Te12 0.962 0.461 0.774

- Raw formation energy: -1.36 eV per atom
- Space-group type: Fddd
- DOS(E_F): 12.7 states/eV/cell